A geometry-optimized KTiVO5 structure. Source: Alexandria via LeMat-Bulk, functional PBE with a Hubbard U. Values from VASP.

Computed properties:
Total DFT energy (no corrections) in eV/atom: -7.5086
Total magnetization in μB per cell: 0.00

The structure in Quantum ESPRESSO input format:
```
&SYSTEM
  ibrav = 0, nat = 16, ntyp = 4
/
ATOMIC_SPECIES
K 39.10 K.upf
Ti 47.87 Ti.upf
V 50.94 V.upf
O 16.00 O.upf
ATOMIC_POSITIONS crystal
K 0.173 0.827 0.750
K 0.827 0.173 0.250
Ti 0.500 0.500 0.000
Ti 0.500 0.500 0.500
V 0.186 0.814 0.250
V 0.814 0.186 0.750
O 0.126 0.276 0.899
O 0.216 0.619 0.394
O 0.276 0.126 0.399
O 0.381 0.784 0.106
O 0.453 0.547 0.750
O 0.547 0.453 0.250
O 0.619 0.216 0.894
O 0.724 0.874 0.601
O 0.784 0.381 0.606
O 0.874 0.724 0.101
CELL_PARAMETERS angstrom
3.547 -4.687 0.000
3.547 4.687 0.000
-2.999 0.000 6.704
```